Entry 1:
Computed, not measured: a geometry-optimized PmHoTeI structure at the PBE level of DFT.

As for the crystal system: cubic. The value obtained for the raw total energy is -0.1651 Ha/atom. The density is 8467 kg/m³. The calculation puts the formation energy without anion corrections at -0.987 eV per atom.

The space group is F-43m (No. 216) and the conventional cell measures 7.622, 7.622 and 7.622 Å, with angles of 90.00, 90.00 and 90.00 degrees. The asymmetric unit holds Pm at (0.000, 0.000, 0.000), Ho at (0.000, 0.000, 0.500), Te at (0.250, 0.250, 0.250) and I at (0.250, 0.250, 0.750).

---

Entry 2:
Computed, not measured: a geometry-optimized Tb5Pm8Pb structure at the PBE level of DFT.

As for the crystal system: monoclinic. The value obtained for the raw total energy is -0.1677 Ha/atom. The density is 7538 kg/m³.

The space group is C2 (No. 5) and the conventional cell measures 15.605, 8.335 and 8.783 Å, with angles of 90.00, 123.51 and 90.00 degrees. The asymmetric unit holds Tb at (0.000, 0.000, 0.000), Tb at (0.037, 0.290, 0.353), Tb at (0.081, 0.668, 0.918), Pm at (0.133, 0.991, 0.706), Pm at (0.138, 0.323, 0.106), Pm at (0.185, 0.688, 0.416), Pm at (0.226, 0.446, 0.799) and Pb at (0.000, 0.643, 0.500).

---

Entry 3:
Computed, not measured: a geometry-optimized Y2Hg4Pb3 structure at the PBE level of DFT.

As for the crystal system: monoclinic. The value obtained for the raw total energy is -0.1119 Ha/atom. The density is 10795 kg/m³.

The space group is C2/m (No. 12) and the conventional cell measures 10.819, 3.750 and 12.886 Å, with angles of 90.00, 109.50 and 90.00 degrees. The asymmetric unit holds Y at (0.163, 0.000, 0.219), Hg at (0.000, 0.500, 0.321), Hg at (0.171, 0.000, 0.888), Pb at (0.000, 0.500, 0.000) and Pb at (0.161, 0.000, 0.559).

---

What did the third record say?
Computed, not measured: a geometry-optimized Y2Hg4Pb3 structure at the PBE level of DFT.

As for the crystal system: monoclinic. The value obtained for the raw total energy is -0.1119 Ha/atom. The density is 10795 kg/m³.

The space group is C2/m (No. 12) and the conventional cell measures 10.819, 3.750 and 12.886 Å, with angles of 90.00, 109.50 and 90.00 degrees. The asymmetric unit holds Y at (0.163, 0.000, 0.219), Hg at (0.000, 0.500, 0.321), Hg at (0.171, 0.000, 0.888), Pb at (0.000, 0.500, 0.000) and Pb at (0.161, 0.000, 0.559).